1.
# TaMn2Se, relaxed, DFT PBE
# N(E_F): 2.57 states/eV/cell
# Uncorrected energy: -8.369 eV/atom
# Energy relative to the elements, uncorrected: 0.0500 eV/atom
# Total moment: 4.9 Bohr magnetons per cell
data_TaMn2Se
_chemical_formula_sum 'Ta1 Mn2 Se1'
_space_group_name_H-M_alt 'P 1'
_space_group_IT_number 1
_space_group_name_Hall 'P 1'
_cell_length_a 3.2500
_cell_length_b 3.2500
_cell_length_c 5.7101
_cell_angle_alpha 90.00
_cell_angle_beta 90.00
_cell_angle_gamma 90.00
loop_
_atom_site_label
_atom_site_fract_x
_atom_site_fract_y
_atom_site_fract_z
Mn1 0.0000 0.0000 0.0061
Mn2 0.5000 0.5000 0.2397
Se1 0.0000 0.0000 0.4812
Ta1 0.5000 0.5000 0.7729


2.
# TaMn2Se, relaxed, DFT PBE
# N(E_F): 2.67 states/eV/cell
# Uncorrected energy: -8.303 eV/atom
# Energy relative to the elements, uncorrected: 0.1162 eV/atom
# Total moment: 4.2 Bohr magnetons per cell
data_TaMn2Se
_chemical_formula_sum 'Ta1 Mn2 Se1'
_space_group_name_H-M_alt 'P 1'
_space_group_IT_number 1
_space_group_name_Hall 'P 1'
_cell_length_a 4.9839
_cell_length_b 4.9839
_cell_length_c 4.9839
_cell_angle_alpha 142.41
_cell_angle_beta 128.16
_cell_angle_gamma 65.78
loop_
_atom_site_label
_atom_site_fract_x
_atom_site_fract_y
_atom_site_fract_z
Mn1 0.9927 0.9927 0.0000
Mn2 0.5073 0.5073 0.0000
Se1 0.7500 0.2500 0.5000
Ta1 0.2500 0.7500 0.5000


3.
# TaMn2Se6, relaxed, DFT PBE
# N(E_F): 3.04 states/eV/cell
# ΔE to the lowest computed polymorph: 238.5 meV per atom
# Uncorrected energy: -6.015 eV/atom
# Energy relative to the elements, uncorrected: -0.3373 eV/atom
# Total moment: 7.0 Bohr magnetons per cell
data_TaMn2Se6
_chemical_formula_sum 'Ta1 Mn2 Se6'
_space_group_name_H-M_alt 'P 1'
_space_group_IT_number 1
_space_group_name_Hall 'P 1'
_cell_length_a 4.8256
_cell_length_b 6.8181
_cell_length_c 7.4784
_cell_angle_alpha 69.06
_cell_angle_beta 71.18
_cell_angle_gamma 69.27
loop_
_atom_site_label
_atom_site_fract_x
_atom_site_fract_y
_atom_site_fract_z
Ta1 0.0000 0.5000 0.5000
Mn1 0.1764 0.7323 0.9149
Mn2 0.8236 0.2677 0.0851
Se1 0.7531 0.6516 0.8423
Se2 0.2469 0.3484 0.1577
Se3 0.9646 0.8517 0.2191
Se4 0.3696 0.6760 0.5849
Se5 0.0354 0.1483 0.7809
Se6 0.6304 0.3240 0.4151


4.
# TaMn2Se, relaxed, DFT PBE
# N(E_F): 3.85 states/eV/cell
# Uncorrected energy: -8.231 eV/atom
# Energy relative to the elements, uncorrected: 0.1878 eV/atom
# Total moment: 0.0 Bohr magnetons per cell
data_TaMn2Se
_chemical_formula_sum 'Ta1 Mn2 Se1'
_space_group_name_H-M_alt 'P 1'
_space_group_IT_number 1
_space_group_name_Hall 'P 1'
_cell_length_a 4.0009
_cell_length_b 3.0477
_cell_length_c 4.9082
_cell_angle_alpha 89.99
_cell_angle_beta 90.00
_cell_angle_gamma 90.00
loop_
_atom_site_label
_atom_site_fract_x
_atom_site_fract_y
_atom_site_fract_z
Mn1 0.0000 0.2499 0.9598
Mn2 0.0000 0.2501 0.5402
Se1 0.5000 0.2500 0.2500
Ta1 0.5000 0.7500 0.7500


5.
# TaMn2Se2, relaxed, DFT PBE
# N(E_F): 1.62 states/eV/cell
# ΔE to the lowest computed polymorph: 0.0 meV per atom
# Uncorrected energy: -7.217 eV/atom
# Energy relative to the elements, uncorrected: 0.2155 eV/atom
# Total moment: 6.8 Bohr magnetons per cell
data_TaMn2Se2
_chemical_formula_sum 'Ta1 Mn2 Se2'
_space_group_name_H-M_alt 'P 1'
_space_group_IT_number 1
_space_group_name_Hall 'P 1'
_cell_length_a 3.4125
_cell_length_b 3.4125
_cell_length_c 7.4090
_cell_angle_alpha 76.69
_cell_angle_beta 76.69
_cell_angle_gamma 90.00
loop_
_atom_site_label
_atom_site_fract_x
_atom_site_fract_y
_atom_site_fract_z
Mn1 0.7500 0.2500 0.5000
Mn2 0.2500 0.7500 0.5000
Se1 0.3920 0.3920 0.2160
Se2 0.6080 0.6080 0.7840
Ta1 0.0000 0.0000 0.0000


6.
# Ta2MnSe, relaxed, DFT PBE
# N(E_F): 2.63 states/eV/cell
# Uncorrected energy: -8.882 eV/atom
# Energy relative to the elements, uncorrected: 0.2076 eV/atom
# Total moment: 0.0 Bohr magnetons per cell
data_Ta2MnSe
_chemical_formula_sum 'Ta2 Mn1 Se1'
_space_group_name_H-M_alt 'P 1'
_space_group_IT_number 1
_space_group_name_Hall 'P 1'
_cell_length_a 5.3357
_cell_length_b 5.3357
_cell_length_c 5.3357
_cell_angle_alpha 139.61
_cell_angle_beta 139.61
_cell_angle_gamma 58.45
loop_
_atom_site_label
_atom_site_fract_x
_atom_site_fract_y
_atom_site_fract_z
Mn1 0.5000 0.5000 0.0000
Se1 0.7500 0.2500 0.5000
Ta1 0.0000 0.0000 0.0000
Ta2 0.2500 0.7500 0.5000


7.
# TaMnSe2, relaxed, DFT PBE
# N(E_F): 1.49 states/eV/cell
# ΔE to the lowest computed polymorph: 212.5 meV per atom
# Uncorrected energy: -7.220 eV/atom
# Energy relative to the elements, uncorrected: -0.2218 eV/atom
# Total moment: 4.0 Bohr magnetons per cell
data_TaMnSe2
_chemical_formula_sum 'Ta1 Mn1 Se2'
_space_group_name_H-M_alt 'P 1'
_space_group_IT_number 1
_space_group_name_Hall 'P 1'
_cell_length_a 8.6548
_cell_length_b 8.6548
_cell_length_c 8.6548
_cell_angle_alpha 22.54
_cell_angle_beta 22.54
_cell_angle_gamma 22.54
loop_
_atom_site_label
_atom_site_fract_x
_atom_site_fract_y
_atom_site_fract_z
Mn1 0.0000 0.0000 0.0000
Se1 0.9019 0.9019 0.9019
Se2 0.0981 0.0981 0.0981
Ta1 0.5000 0.5000 0.5000


8.
# Ta2MnSe, relaxed, DFT PBE
# N(E_F): 3.43 states/eV/cell
# Uncorrected energy: -8.617 eV/atom
# Energy relative to the elements, uncorrected: 0.4724 eV/atom
# Total moment: 2.5 Bohr magnetons per cell
data_Ta2MnSe
_chemical_formula_sum 'Ta2 Mn1 Se1'
_space_group_name_H-M_alt 'P 1'
_space_group_IT_number 1
_space_group_name_Hall 'P 1'
_cell_length_a 4.5543
_cell_length_b 4.5543
_cell_length_c 4.5543
_cell_angle_alpha 60.00
_cell_angle_beta 60.00
_cell_angle_gamma 60.00
loop_
_atom_site_label
_atom_site_fract_x
_atom_site_fract_y
_atom_site_fract_z
Mn1 0.5000 0.5000 0.5000
Se1 0.7500 0.7500 0.7500
Ta1 0.0000 0.0000 0.0000
Ta2 0.2500 0.2500 0.2500


- What is the formula in the eighth record?
  Ta2MnSe


- Number 8 is which compound?
  Ta2MnSe


Please write out number 7 again, unchanged.
# TaMnSe2, relaxed, DFT PBE
# N(E_F): 1.49 states/eV/cell
# ΔE to the lowest computed polymorph: 212.5 meV per atom
# Uncorrected energy: -7.220 eV/atom
# Energy relative to the elements, uncorrected: -0.2218 eV/atom
# Total moment: 4.0 Bohr magnetons per cell
data_TaMnSe2
_chemical_formula_sum 'Ta1 Mn1 Se2'
_space_group_name_H-M_alt 'P 1'
_space_group_IT_number 1
_space_group_name_Hall 'P 1'
_cell_length_a 8.6548
_cell_length_b 8.6548
_cell_length_c 8.6548
_cell_angle_alpha 22.54
_cell_angle_beta 22.54
_cell_angle_gamma 22.54
loop_
_atom_site_label
_atom_site_fract_x
_atom_site_fract_y
_atom_site_fract_z
Mn1 0.0000 0.0000 0.0000
Se1 0.9019 0.9019 0.9019
Se2 0.0981 0.0981 0.0981
Ta1 0.5000 0.5000 0.5000